Computed, not measured: a relaxed structure of BaGa2BO6 at the PBE level of DFT.

Computed properties:
* V: 13.96 A^3/atom
* N(E_F): 0.14 states/eV/atom
* M_tot: 1.03 μB/f.u.
* energy relative to the elements, uncorrected: -2027 meV/atom
* crystal system: monoclinic

Unit cell a=6.4120 b=7.3587 c=7.3587 alpha=79.16 beta=63.72 gamma=63.72
Positions (direct):
O (0.5222, 0.8535, 0.3626)
O (0.8410, 0.2755, 0.3859)
O (0.8014, 0.0025, 0.1755)
O (0.6590, 0.6141, 0.7245)
O (0.6986, 0.8245, 0.9975)
O (0.9778, 0.6374, 0.1465)
O (0.1986, 0.9975, 0.8245)
O (0.4778, 0.1465, 0.6374)
O (0.3014, 0.1755, 0.0025)
O (0.3410, 0.3859, 0.2755)
O (0.0222, 0.3626, 0.8535)
O (0.1590, 0.7245, 0.6141)
Ba (0.2500, 0.7960, 0.2040)
Ba (0.7500, 0.2040, 0.7960)
Ga (0.4093, 0.7787, 0.6348)
Ga (0.5907, 0.2213, 0.3652)
Ga (0.0907, 0.3652, 0.2213)
Ga (0.9093, 0.6348, 0.7787)
B (0.2500, 0.1755, 0.8245)
B (0.7500, 0.8245, 0.1755)